Here is a relaxed Li2Ac3VO9 crystal from the Alexandria database. Energies are from PBE+U.

Output
The calculation puts the magnetic moment at 2.0 μB per formula unit. As for the space group: No. 164. As for the density of states at the Fermi level: 9.349 states/eV per cell. The value obtained for the final energy is -7.0486 eV/atom.

Lattice parameters (Å, degrees): 5.5332 5.5332 6.9380 90.00 90.00 120.00
With the nearest neighbours (Å) after each atom.
Fractional coordinates of all 15 atoms:
V: 0.0000 0.0000 0.5000  6 O 1.88
O: 0.8398 0.1602 0.6573  1 V 1.88, 1 Li 1.99
Ac: 0.6667 0.3333 0.3160  12 O 2.71-2.89
O: 0.8398 0.6796 0.6573  1 V 1.88, 1 Li 1.99
Ac: 0.3333 0.6667 0.6839  12 O 2.71-2.89
O: 0.0000 0.5000 0.0000  2 Li 2.05
O: 0.5000 0.5000 0.0000  2 Li 2.05
Li: 0.6667 0.3333 0.8151  6 O 1.99-2.05
O: 0.6796 0.8398 0.3427  1 V 1.88, 1 Li 1.99
O: 0.5000 0.0000 0.0000  2 Li 2.05
O: 0.3204 0.1602 0.6573  1 V 1.88, 1 Li 1.99
O: 0.1602 0.8398 0.3427  1 V 1.88, 1 Li 1.99
Li: 0.3333 0.6667 0.1849  6 O 1.99-2.05
O: 0.1602 0.3204 0.3427  1 V 1.88, 1 Li 1.99
Ac: 0.0000 0.0000 0.0000  12 O 2.77-2.83